Record 1
BaCe2Zn2O7: optimized geometry, PBE.

a = 10.374 Å, b = 10.374 Å, c = 10.374 Å
α = 156.36°, β = 34.41°, γ = 155.36°
Element x y z (fractional)
Ba1 0.000 0.000 0.000
Ce1 0.356 0.971 0.386
Ce2 0.585 0.971 0.614
Zn1 0.201 0.470 0.731
Zn2 0.738 0.470 0.269
O1 0.099 0.471 0.628
O2 0.233 0.970 0.263
O3 0.391 0.891 0.500
O4 0.393 0.488 0.906
O5 0.582 0.488 0.094
O6 0.707 0.970 0.737
O7 0.843 0.471 0.372

Output
Formation energy without anion corrections in meV per atom: -2492.5
Crystal system: orthorhombic
Final energy in Ry/atom: -0.496

---

Record 2
Ba2CeZnO5: optimized geometry, PBE.

a = 7.748 Å, b = 7.748 Å, c = 11.545 Å
α = 90.00°, β = 90.00°, γ = 152.90°
Element x y z (fractional)
Ba1 0.098 0.902 0.500
Ba2 0.132 0.868 0.150
Ba3 0.868 0.132 0.650
Ba4 0.902 0.098 0.000
Ce1 0.202 0.798 0.852
Ce2 0.798 0.202 0.352
Zn1 0.453 0.547 0.261
Zn2 0.547 0.453 0.761
O1 0.046 0.954 0.843
O2 0.287 0.713 0.476
O3 0.313 0.687 0.228
O4 0.343 0.657 0.831
O5 0.495 0.505 0.609
O6 0.505 0.495 0.109
O7 0.657 0.343 0.331
O8 0.687 0.313 0.728
O9 0.713 0.287 0.976
O10 0.954 0.046 0.343

Output
Formation energy without anion corrections in meV per atom: -2588.3
Crystal system: orthorhombic
Final energy in Ry/atom: -0.483

---

Record 3
Ba2CeZn2O6: optimized geometry, PBE.

a = 6.838 Å, b = 6.838 Å, c = 6.838 Å
α = 53.64°, β = 53.64°, γ = 53.64°
Element x y z (fractional)
Ba1 0.211 0.211 0.211
Ba2 0.789 0.789 0.789
Ce1 0.000 0.000 0.000
Zn1 0.421 0.421 0.421
Zn2 0.579 0.579 0.579
O1 0.229 0.757 0.757
O2 0.243 0.243 0.771
O3 0.243 0.771 0.243
O4 0.757 0.229 0.757
O5 0.757 0.757 0.229
O6 0.771 0.243 0.243

Output
Formation energy without anion corrections in meV per atom: -2333.4
Crystal system: trigonal
Final energy in Ry/atom: -0.453

---

Record 4
Ba4CeZr3O12: optimized geometry, PBE.

a = 7.466 Å, b = 7.466 Å, c = 7.466 Å
α = 109.47°, β = 109.47°, γ = 109.47°
Element x y z (fractional)
Ba1 0.000 0.000 0.500
Ba2 0.000 0.500 0.000
Ba3 0.500 0.000 0.000
Ba4 0.500 0.500 0.500
Ce1 0.000 0.000 0.000
Zr1 0.000 0.500 0.500
Zr2 0.500 0.000 0.500
Zr3 0.500 0.500 0.000
O1 0.000 0.257 0.257
O2 0.000 0.743 0.743
O3 0.250 0.500 0.750
O4 0.250 0.750 0.500
O5 0.257 0.000 0.257
O6 0.257 0.257 0.000
O7 0.500 0.250 0.750
O8 0.500 0.750 0.250
O9 0.743 0.000 0.743
O10 0.743 0.743 0.000
O11 0.750 0.250 0.500
O12 0.750 0.500 0.250

Output
Formation energy without anion corrections in meV per atom: -3186.7
Crystal system: cubic
Final energy in Ry/atom: -0.597

---

Question: Which of these has the highest formation energy without anion corrections?
Answer: Ba2CeZn2O6